First-principles (meta-GGA SCAN) data for a crystal of FePBr2 relaxed with PBEsol, as listed in Alexandria via LeMat-Bulk.

POSCAR file:
```
FePBr2
1.0
3.3154 0.0000 0.0000
-1.6577 2.8713 0.0000
0.0000 0.0000 25.6055
Fe P Br
3 3 6
Cartesian
0.0000 0.0000 0.0000
0.0000 1.9142 17.0703
1.6577 0.9571 8.5352
0.0000 0.0000 12.8027
0.0000 1.9142 4.2676
1.6577 0.9571 21.3379
0.0000 0.0000 6.9036
0.0000 0.0000 18.7019
0.0000 1.9142 10.1667
0.0000 1.9142 23.9739
1.6577 0.9571 1.6316
1.6577 0.9571 15.4388
```

Results
ΔE_f (raw)	367	meV per atom
VASP energy	-16.50	eV/atom
space group	R-3m

---

First-principles (meta-GGA SCAN) data for a crystal of MgCoRe relaxed with PBEsol, as listed in Alexandria via LeMat-Bulk.

POSCAR file:
```
MgCoRe
1.0
2.7266 0.0000 0.0000
-1.3633 2.3613 0.0000
0.0000 0.0000 6.5910
Mg Co Re
1 1 1
Cartesian
0.0000 0.0000 0.0000
1.3633 0.7871 2.2037
0.0000 1.5742 4.1449
```

Results
VASP energy	-30.86	eV/atom
space group	P3m1
DFT formation energy	266	meV per atom

---

One value per record, in order, for calculated density: 5.040, 10.544 g cm⁻³.
One value per record, in order, for density of states at the Fermi level: 6.2, 1.7 states/eV per cell.
One value per record, in order, for magnetic moment: 0.726, 0.555 μB/atom.